Record 1
# AlCu2Mo

An optimized crystal structure of AlCu2Mo (PBE, Alexandria via LeMat-Bulk).

```
data_AlCu2Mo
_symmetry_space_group_name_H-M 'I -4 m 2'
_symmetry_Int_Tables_number 119
_symmetry_space_group_name_Hall 'I -4 -2'
_cell_length_a 3.871
_cell_length_b 3.871
_cell_length_c 7.357
_cell_angle_alpha 90.00
_cell_angle_beta 90.00
_cell_angle_gamma 90.00
loop_
_atom_site_label
_atom_site_type_symbol
_atom_site_fract_x
_atom_site_fract_y
_atom_site_fract_z
Al1 Al 0.000 0.000 0.000
Cu1 Cu 0.000 0.000 0.500
Cu2 Cu 0.000 0.500 0.750
Mo1 Mo 0.000 0.500 0.250
```

Summary:
- Formation enthalpy at 0 K: 0.15 eV per atom
- Size of the total moment: 1.571 Bohr magnetons per cell



Record 2
# TaBeAs2

An optimized crystal structure of TaBeAs2 (PBE, Alexandria via LeMat-Bulk).

```
data_TaBeAs2
_symmetry_space_group_name_H-M 'P 4 m m'
_symmetry_Int_Tables_number 99
_cell_length_a 3.499
_cell_length_b 3.499
_cell_length_c 5.357
_cell_angle_alpha 90.00
_cell_angle_beta 90.00
_cell_angle_gamma 90.00
loop_
_symmetry_equiv_pos_as_xyz
'x,y,z'
'-y,x,z'
'-x,-y,z'
'y,-x,z'
'-x,y,z'
'y,x,z'
'x,-y,z'
'-y,-x,z'
loop_
_atom_site_label
_atom_site_type_symbol
_atom_site_fract_x
_atom_site_fract_y
_atom_site_fract_z
Ta1 Ta 0.000 0.000 0.000
Be1 Be 0.500 0.500 0.705
As1 As 0.000 0.000 0.533
As2 As 0.500 0.500 0.155
```

Summary:
- Formation enthalpy at 0 K: 0.01 eV per atom
- Size of the total moment: 0.000 Bohr magnetons per cell



Record 3
# SrLi5Pb6

An optimized crystal structure of SrLi5Pb6 (PBE, Alexandria via LeMat-Bulk).

```
data_SrLi5Pb6
_symmetry_space_group_name_H-M 'P -1'
_symmetry_Int_Tables_number 2
_cell_length_a 5.129
_cell_length_b 7.528
_cell_length_c 8.951
_cell_angle_alpha 113.49
_cell_angle_beta 106.48
_cell_angle_gamma 90.04
loop_
_symmetry_equiv_pos_as_xyz
'x,y,z'
'-x,-y,-z'
loop_
_atom_site_label
_atom_site_type_symbol
_atom_site_fract_x
_atom_site_fract_y
_atom_site_fract_z
Sr1 Sr 0.000 0.000 0.000
Li1 Li 0.000 0.500 0.000
Li2 Li 0.323 0.316 0.648
Li3 Li 0.333 0.827 0.666
Pb1 Pb 0.169 0.448 0.338
Pb2 Pb 0.177 0.910 0.354
Pb3 Pb 0.489 0.702 0.979
```

Summary:
- Formation enthalpy at 0 K: -0.29 eV per atom
- Size of the total moment: 0.000 Bohr magnetons per cell



Record 4
# Ir5Os2Ru

An optimized crystal structure of Ir5Os2Ru (PBE, Alexandria via LeMat-Bulk).

```
data_Ir5Os2Ru
_symmetry_space_group_name_H-M 'I 4/m c m'
_symmetry_Int_Tables_number 140
_symmetry_space_group_name_Hall '-I 4 2c'
_cell_length_a 6.590
_cell_length_b 6.590
_cell_length_c 11.250
_cell_angle_alpha 90.00
_cell_angle_beta 90.00
_cell_angle_gamma 90.00
loop_
_atom_site_label
_atom_site_type_symbol
_atom_site_fract_x
_atom_site_fract_y
_atom_site_fract_z
Ir1 Ir 0.000 0.000 0.000
Ir2 Ir 0.146 0.354 0.171
Os1 Os 0.135 0.365 0.500
Ru1 Ru 0.000 0.000 0.250
```

Summary:
- Formation enthalpy at 0 K: 0.45 eV per atom
- Size of the total moment: 0.000 Bohr magnetons per cell



Record 5
# MnMo2Cl

An optimized crystal structure of MnMo2Cl (PBE, Alexandria via LeMat-Bulk).

```
data_MnMo2Cl
_symmetry_space_group_name_H-M 'F -4 3 m'
_symmetry_Int_Tables_number 216
_symmetry_space_group_name_Hall 'F -4 2 3'
_cell_length_a 6.343
_cell_length_b 6.343
_cell_length_c 6.343
_cell_angle_alpha 90.00
_cell_angle_beta 90.00
_cell_angle_gamma 90.00
loop_
_atom_site_label
_atom_site_type_symbol
_atom_site_fract_x
_atom_site_fract_y
_atom_site_fract_z
Mn1 Mn 0.000 0.000 0.000
Mo1 Mo 0.000 0.000 0.500
Mo2 Mo 0.250 0.250 0.250
Cl1 Cl 0.250 0.250 0.750
```

Summary:
- Relative energy among the computed polymorphs: 0.754 eV/atom
- Size of the total moment: 15.804 Bohr magnetons per cell
- Formation energy (no corrections): 89.3 kJ per mole of atoms



Record 6
# Cs2InHg

An optimized crystal structure of Cs2InHg (PBE, Alexandria via LeMat-Bulk).

```
data_Cs2InHg
_symmetry_space_group_name_H-M 'F m -3 m'
_symmetry_Int_Tables_number 225
_symmetry_space_group_name_Hall '-F 4 2 3'
_cell_length_a 9.339
_cell_length_b 9.339
_cell_length_c 9.339
_cell_angle_alpha 90.00
_cell_angle_beta 90.00
_cell_angle_gamma 90.00
loop_
_atom_site_label
_atom_site_type_symbol
_atom_site_fract_x
_atom_site_fract_y
_atom_site_fract_z
Cs1 Cs 0.250 0.250 0.250
In1 In 0.000 0.000 0.000
Hg1 Hg 0.000 0.000 0.500
```

Summary:
- Formation enthalpy at 0 K: 0.02 eV per atom
- Size of the total moment: 7.745 Bohr magnetons per cell



Record 7
# MnNi2I

An optimized crystal structure of MnNi2I (PBE, Alexandria via LeMat-Bulk).

```
data_MnNi2I
_symmetry_space_group_name_H-M 'I -4 2 d'
_symmetry_Int_Tables_number 122
_symmetry_space_group_name_Hall 'I -4 2bw'
_cell_length_a 5.653
_cell_length_b 5.653
_cell_length_c 10.933
_cell_angle_alpha 90.00
_cell_angle_beta 90.00
_cell_angle_gamma 90.00
loop_
_atom_site_label
_atom_site_type_symbol
_atom_site_fract_x
_atom_site_fract_y
_atom_site_fract_z
Mn1 Mn 0.000 0.000 0.000
Ni1 Ni 0.237 0.250 0.125
I1 I 0.000 0.000 0.500
```

Summary:
- Relative energy among the computed polymorphs: 0.222 eV/atom
- Size of the total moment: 17.955 Bohr magnetons per cell
- Formation energy (no corrections): 77.2 kJ per mole of atoms



Record 8
# MnNb2W

An optimized crystal structure of MnNb2W (PBE, Alexandria via LeMat-Bulk).

```
data_MnNb2W
_symmetry_space_group_name_H-M 'I -4 2 d'
_symmetry_Int_Tables_number 122
_symmetry_space_group_name_Hall 'I -4 2bw'
_cell_length_a 7.104
_cell_length_b 7.104
_cell_length_c 5.369
_cell_angle_alpha 90.00
_cell_angle_beta 90.00
_cell_angle_gamma 90.00
loop_
_atom_site_label
_atom_site_type_symbol
_atom_site_fract_x
_atom_site_fract_y
_atom_site_fract_z
Mn1 Mn 0.000 0.000 0.000
Nb1 Nb 0.226 0.250 0.125
W1 W 0.000 0.000 0.500
```

Summary:
- Formation enthalpy at 0 K: 0.67 eV per atom
- Size of the total moment: 3.724 Bohr magnetons per cell



Record 9
# Pu2AgH

An optimized crystal structure of Pu2AgH (PBE, Alexandria via LeMat-Bulk).

```
data_Pu2AgH
_symmetry_space_group_name_H-M 'P 4/m m m'
_symmetry_Int_Tables_number 123
_symmetry_space_group_name_Hall '-P 4 2'
_cell_length_a 3.089
_cell_length_b 3.089
_cell_length_c 7.829
_cell_angle_alpha 90.00
_cell_angle_beta 90.00
_cell_angle_gamma 90.00
loop_
_atom_site_label
_atom_site_type_symbol
_atom_site_fract_x
_atom_site_fract_y
_atom_site_fract_z
Pu1 Pu 0.000 0.000 0.200
Ag1 Ag 0.500 0.500 0.500
H1 H 0.500 0.500 0.000
```

Summary:
- Relative energy among the computed polymorphs: 0.000 eV/atom
- Size of the total moment: 12.210 Bohr magnetons per cell



Record 10
# InRh2Au

An optimized crystal structure of InRh2Au (PBE, Alexandria via LeMat-Bulk).

```
data_InRh2Au
_symmetry_space_group_name_H-M 'C m m m'
_symmetry_Int_Tables_number 65
_symmetry_space_group_name_Hall '-C 2 2'
_cell_length_a 6.033
_cell_length_b 7.051
_cell_length_c 3.100
_cell_angle_alpha 90.00
_cell_angle_beta 90.00
_cell_angle_gamma 90.00
loop_
_atom_site_label
_atom_site_type_symbol
_atom_site_fract_x
_atom_site_fract_y
_atom_site_fract_z
In1 In 0.000 0.000 0.000
Rh1 Rh 0.250 0.250 0.500
Au1 Au 0.000 0.500 0.000
```

Summary:
- Formation enthalpy at 0 K: -0.14 eV per atom
- Size of the total moment: 0.000 Bohr magnetons per cell



Record 11
# Ca2CoPb

An optimized crystal structure of Ca2CoPb (PBE, Alexandria via LeMat-Bulk).

```
data_Ca2CoPb
_symmetry_space_group_name_H-M 'I -4 2 d'
_symmetry_Int_Tables_number 122
_symmetry_space_group_name_Hall 'I -4 2bw'
_cell_length_a 10.178
_cell_length_b 10.178
_cell_length_c 4.971
_cell_angle_alpha 90.00
_cell_angle_beta 90.00
_cell_angle_gamma 90.00
loop_
_atom_site_label
_atom_site_type_symbol
_atom_site_fract_x
_atom_site_fract_y
_atom_site_fract_z
Ca1 Ca 0.087 0.250 0.125
Co1 Co 0.000 0.000 0.000
Pb1 Pb 0.000 0.000 0.500
```

Summary:
- Formation enthalpy at 0 K: 0.07 eV per atom
- Size of the total moment: 0.000 Bohr magnetons per cell



Record 12
# SrCa2Zn2

An optimized crystal structure of SrCa2Zn2 (PBE, Alexandria via LeMat-Bulk).

```
data_SrCa2Zn2
_symmetry_space_group_name_H-M 'I 4/m m m'
_symmetry_Int_Tables_number 139
_symmetry_space_group_name_Hall '-I 4 2'
_cell_length_a 5.504
_cell_length_b 5.504
_cell_length_c 11.357
_cell_angle_alpha 90.00
_cell_angle_beta 90.00
_cell_angle_gamma 90.00
loop_
_atom_site_label
_atom_site_type_symbol
_atom_site_fract_x
_atom_site_fract_y
_atom_site_fract_z
Sr1 Sr 0.000 0.000 0.000
Ca1 Ca 0.000 0.000 0.345
Zn1 Zn 0.000 0.500 0.250
```

Summary:
- Formation enthalpy at 0 K: 0.02 eV per atom
- Relative energy among the computed polymorphs: 0.211 eV/atom
- Size of the total moment: 0.000 Bohr magnetons per cell